1.
First-principles (PBE) data for crystalline Zr3Hg2 at its relaxed geometry, as listed in Alexandria.

```
Zr3Hg2
1.0
1.665 0.961 12.078
-1.665 0.961 12.078
0.000 -1.922 12.078
Zr Hg
3 2
Direct
0.000 0.000 0.000 Zr
0.200 0.200 0.200 Zr
0.800 0.800 0.800 Zr
0.400 0.400 0.400 Hg
0.600 0.600 0.600 Hg
```

Computed properties:
The value obtained for the magnetization is 0.000 μB/atom. Its calculated formation energy is -0.33 eV/f.u. As for the density of states at the Fermi level: 6.47 states/eV/f.u.

***

2.
First-principles (PBE) data for crystalline Li2MgRu at its relaxed geometry, as listed in Alexandria.

```
Li2MgRu
1.0
2.808 0.000 0.000
0.000 4.618 0.000
0.000 0.000 4.769
Li Mg Ru
2 1 1
Direct
0.000 0.000 0.000 Li
0.500 0.500 0.000 Li
0.000 0.500 0.500 Mg
0.500 0.000 0.500 Ru
```

Computed properties:
The value obtained for the magnetization is 0.000 μB/atom. Its calculated formation energy is 0.54 eV/f.u. As for the density of states at the Fermi level: 1.66 states/eV/f.u.

***

3.
First-principles (PBE) data for crystalline LaNpS2O at its relaxed geometry, as listed in Alexandria.

```
LaNpS2O
1.0
3.978 0.000 0.000
0.000 3.978 0.000
0.000 0.000 13.838
La Np S O
2 2 4 2
Direct
0.250 0.250 0.092 La
0.750 0.750 0.908 La
0.250 0.250 0.611 Np
0.750 0.750 0.389 Np
0.250 0.250 0.408 S
0.250 0.250 0.795 S
0.750 0.750 0.205 S
0.750 0.750 0.592 S
0.250 0.750 0.000 O
0.750 0.250 0.000 O
```

Computed properties:
The value obtained for the magnetization is 0.780 μB/atom. For the uncorrected formation energy, the calculation gives -216.6 kJ per mole of atoms. As for the density of states at the Fermi level: 7.53 states/eV/f.u.

***

4.
First-principles (PBE) data for crystalline Tc2IrSe at its relaxed geometry, as listed in Alexandria.

```
Tc2IrSe
1.0
4.760 -1.447 0.000
4.760 1.447 0.000
-0.145 0.000 4.491
Tc Ir Se
2 1 1
Direct
0.000 0.000 0.000 Tc
0.719 0.719 0.221 Tc
0.273 0.273 0.751 Ir
0.483 0.483 0.444 Se
```

Computed properties:
The value obtained for the magnetization is 0.000 μB/atom. For the uncorrected formation energy, the calculation gives 18.6 kJ per mole of atoms. As for the density of states at the Fermi level: 2.82 states/eV/f.u.

***

5.
First-principles (PBE) data for crystalline ZrTlPt at its relaxed geometry, as listed in Alexandria.

```
ZrTlPt
1.0
0.000 3.298 3.298
3.298 0.000 3.298
3.298 3.298 0.000
Zr Tl Pt
1 1 1
Direct
0.000 0.000 0.000 Zr
0.750 0.750 0.750 Tl
0.250 0.250 0.250 Pt
```

Computed properties:
The value obtained for the magnetization is 0.000 μB/atom. Its calculated formation energy is -0.17 eV/f.u. As for the density of states at the Fermi level: 3.25 states/eV/f.u.

***

6.
First-principles (PBE) data for crystalline Hf2GaRePd at its relaxed geometry, as listed in Alexandria.

```
Hf2GaRePd
1.0
4.983 0.000 0.000
0.000 4.983 0.000
0.000 0.000 4.769
Hf Ga Re Pd
2 1 1 1
Direct
0.000 0.500 0.000 Hf
0.500 0.000 0.000 Hf
0.000 0.000 0.500 Ga
0.000 0.000 0.000 Re
0.500 0.500 0.500 Pd
```

Computed properties:
The value obtained for the magnetization is 0.000 μB/atom. Its calculated formation energy is 2.51 eV/f.u. As for the density of states at the Fermi level: 3.18 states/eV/f.u.

***

7.
First-principles (PBE) data for crystalline TlAgN2F at its relaxed geometry, as listed in Alexandria.

```
TlAgN2F
1.0
4.116 0.000 0.000
0.000 4.116 0.000
0.000 0.000 5.120
Tl Ag N F
1 1 2 1
Direct
0.000 0.000 0.000 Tl
0.500 0.500 0.500 Ag
0.000 0.500 0.500 N
0.500 0.000 0.500 N
0.500 0.500 0.000 F
```

Computed properties:
The value obtained for the magnetization is 0.678 μB/atom. For the uncorrected formation energy, the calculation gives 92.4 kJ per mole of atoms. As for the energy above the most stable polymorph in this dataset: 0.0 meV/atom. As for the density of states at the Fermi level: 2.41 states/eV/f.u.

***

8.
First-principles (PBE) data for crystalline BaPr2Sb at its relaxed geometry, as listed in Alexandria.

```
BaPr2Sb
1.0
2.158 1.246 10.601
-2.158 1.246 10.601
0.000 -2.492 10.601
Ba Pr Sb
1 2 1
Direct
0.000 0.000 0.000 Ba
0.559 0.559 0.559 Pr
0.773 0.773 0.773 Pr
0.166 0.166 0.166 Sb
```

Computed properties:
The value obtained for the magnetization is 0.000 μB/atom. For the uncorrected formation energy, the calculation gives -39.4 kJ per mole of atoms. As for the density of states at the Fermi level: 5.02 states/eV/f.u.

***

9.
First-principles (PBE) data for crystalline Cs3Li2PmBr8 at its relaxed geometry, as listed in Alexandria.

```
Cs3Li2PmBr8
1.0
7.962 0.000 0.000
-3.981 6.895 0.000
0.000 0.000 10.268
Cs Li Pm Br
3 2 1 8
Direct
0.000 0.000 0.000 Cs
0.333 0.667 0.647 Cs
0.667 0.333 0.353 Cs
0.333 0.667 0.209 Li
0.667 0.333 0.791 Li
0.000 0.000 0.500 Pm
0.167 0.334 0.334 Br
0.167 0.833 0.334 Br
0.333 0.667 0.979 Br
0.334 0.167 0.666 Br
0.666 0.833 0.334 Br
0.667 0.333 0.021 Br
0.833 0.167 0.666 Br
0.833 0.666 0.666 Br
```

Computed properties:
The value obtained for the magnetization is 0.000 μB/atom. For the uncorrected formation energy, the calculation gives -166.8 kJ per mole of atoms. As for the density of states at the Fermi level: 0.00 states/eV/f.u.

***

10.
First-principles (PBE) data for crystalline CrIn at its relaxed geometry, as listed in Alexandria.

```
CrIn
1.0
3.048 0.000 0.000
-1.524 2.639 0.000
0.000 0.000 8.883
Cr In
2 2
Direct
0.333 0.667 0.082 Cr
0.667 0.333 0.918 Cr
0.333 0.667 0.658 In
0.667 0.333 0.342 In
```

Computed properties:
The value obtained for the magnetization is 0.000 μB/atom. Its calculated formation energy is 0.91 eV/f.u. As for the density of states at the Fermi level: 1.75 states/eV/f.u.

***

11.
First-principles (PBE) data for crystalline Ta2Nb3H4 at its relaxed geometry, as listed in Alexandria.

```
Ta2Nb3H4
1.0
4.829 -1.402 0.000
4.829 1.402 0.000
-2.313 0.000 7.504
Ta Nb H
2 3 4
Direct
0.199 0.199 0.305 Ta
0.801 0.801 0.695 Ta
0.106 0.106 0.897 Nb
0.500 0.500 0.500 Nb
0.894 0.894 0.103 Nb
0.140 0.140 0.650 H
0.419 0.419 0.874 H
0.581 0.581 0.126 H
0.860 0.860 0.350 H
```

Computed properties:
The value obtained for the magnetization is 0.000 μB/atom. Its calculated total energy is -7.466 eV/atom. As for the density of states at the Fermi level: 4.31 states/eV/f.u.

***

12.
First-principles (PBE) data for crystalline LiZrIn at its relaxed geometry, as listed in Alexandria.

```
LiZrIn
1.0
2.152 -6.480 0.000
2.152 6.480 0.000
0.000 0.000 4.406
Li Zr In
2 2 2
Direct
0.072 0.928 0.750 Li
0.928 0.072 0.250 Li
0.252 0.748 0.250 Zr
0.748 0.252 0.750 Zr
0.420 0.580 0.750 In
0.580 0.420 0.250 In
```

Computed properties:
The value obtained for the magnetization is 0.000 μB/atom. Its calculated formation energy is -0.44 eV/f.u. As for the energy above the most stable polymorph in this dataset: 75.1 meV/atom. As for the density of states at the Fermi level: 2.39 states/eV/f.u.

***

13.
First-principles (PBE) data for crystalline Y5Tc3 at its relaxed geometry, as listed in Alexandria.

```
Y5Tc3
1.0
3.880 -5.059 0.000
3.880 5.059 0.000
0.000 0.000 4.659
Y Tc
5 3
Direct
0.000 0.000 0.000 Y
0.000 0.500 0.000 Y
0.295 0.295 0.500 Y
0.500 0.000 0.000 Y
0.705 0.705 0.500 Y
0.211 0.789 0.500 Tc
0.500 0.500 0.000 Tc
0.789 0.211 0.500 Tc
```

Computed properties:
The value obtained for the magnetization is 0.000 μB/atom. Its calculated formation energy is 1.47 eV/f.u. As for the energy above the most stable polymorph in this dataset: 119.9 meV/atom. As for the density of states at the Fermi level: 7.76 states/eV/f.u.

***

14.
First-principles (PBE) data for crystalline Nd8Si3NiBr4 at its relaxed geometry, as listed in Alexandria.

```
Nd8Si3NiBr4
1.0
4.246 2.451 7.323
-4.246 2.451 7.323
0.000 -4.903 7.323
Nd Si Ni Br
8 3 1 4
Direct
0.238 0.238 0.238 Nd
0.245 0.731 0.731 Nd
0.269 0.269 0.755 Nd
0.269 0.755 0.269 Nd
0.731 0.245 0.731 Nd
0.731 0.731 0.245 Nd
0.755 0.269 0.269 Nd
0.762 0.762 0.762 Nd
0.000 0.000 0.500 Si
0.000 0.500 0.000 Si
0.500 0.000 0.000 Si
0.500 0.500 0.500 Ni
0.000 0.000 0.000 Br
0.000 0.500 0.500 Br
0.500 0.000 0.500 Br
0.500 0.500 0.000 Br
```

Computed properties:
The value obtained for the magnetization is 0.000 μB/atom. For the uncorrected formation energy, the calculation gives -94.6 kJ per mole of atoms. As for the density of states at the Fermi level: 10.18 states/eV/f.u.

***

15.
First-principles (PBE) data for crystalline LaPtW at its relaxed geometry, as listed in Alexandria.

```
LaPtW
1.0
2.968 0.000 0.000
-1.484 2.571 0.000
0.000 0.000 7.820
La Pt W
1 1 1
Direct
0.000 0.000 0.000 La
0.667 0.333 0.361 Pt
0.333 0.667 0.630 W
```

Computed properties:
The value obtained for the magnetization is 0.000 μB/atom. Its calculated formation energy is 1.04 eV/f.u. As for the energy above the most stable polymorph in this dataset: 435.1 meV/atom. As for the density of states at the Fermi level: 2.78 states/eV/f.u.

***

16.
First-principles (PBE) data for crystalline BaNa2Ca2 at its relaxed geometry, as listed in Alexandria.

```
BaNa2Ca2
1.0
10.599 0.000 0.000
0.000 10.599 0.000
0.000 0.000 3.953
Ba Na Ca
2 4 4
Direct
0.000 0.000 0.000 Ba
0.500 0.500 0.000 Ba
0.169 0.331 0.500 Na
0.331 0.831 0.500 Na
0.669 0.169 0.500 Na
0.831 0.669 0.500 Na
0.127 0.627 0.000 Ca
0.373 0.127 0.000 Ca
0.627 0.873 0.000 Ca
0.873 0.373 0.000 Ca
```

Computed properties:
The value obtained for the magnetization is 0.000 μB/atom. Its calculated formation energy is 0.52 eV/f.u. As for the energy above the most stable polymorph in this dataset: 68.0 meV/atom. As for the density of states at the Fermi level: 3.85 states/eV/f.u.

***

17.
First-principles (PBE) data for crystalline BeHgPb2 at its relaxed geometry, as listed in Alexandria.

```
BeHgPb2
1.0
3.599 -2.085 0.000
3.599 2.085 0.000
-2.426 0.000 7.319
Be Hg Pb
1 1 2
Direct
0.000 0.000 0.000 Be
0.500 0.500 0.500 Hg
0.278 0.278 0.834 Pb
0.722 0.722 0.166 Pb
```

Computed properties:
The value obtained for the magnetization is 0.000 μB/atom. Its calculated formation energy is 1.25 eV/f.u. As for the energy above the most stable polymorph in this dataset: 0.0 meV/atom. As for the density of states at the Fermi level: 0.77 states/eV/f.u.

***

18.
First-principles (PBE) data for crystalline CsKFeBr4 at its relaxed geometry, as listed in Alexandria.

```
CsKFeBr4
1.0
7.553 0.000 0.000
0.000 7.703 0.000
-3.149 0.000 9.379
Cs K Fe Br
2 2 2 8
Direct
0.222 0.250 0.428 Cs
0.778 0.750 0.572 Cs
0.276 0.250 0.950 K
0.724 0.750 0.050 K
0.287 0.750 0.190 Fe
0.713 0.250 0.810 Fe
0.097 0.750 0.349 Br
0.100 0.750 0.940 Br
0.500 0.001 0.760 Br
0.500 0.499 0.760 Br
0.500 0.501 0.240 Br
0.500 0.999 0.240 Br
0.900 0.250 0.060 Br
0.903 0.250 0.651 Br
```

Computed properties:
The value obtained for the magnetization is 0.571 μB/atom. For the uncorrected formation energy, the calculation gives -117.7 kJ per mole of atoms. As for the density of states at the Fermi level: 6.68 states/eV/f.u.

***

19.
First-principles (PBE) data for crystalline RbLi2Sn2Cl7 at its relaxed geometry, as listed in Alexandria.

```
RbLi2Sn2Cl7
1.0
-2.807 11.139 2.861
2.807 -11.139 2.861
2.807 11.139 -2.861
Rb Li Sn Cl
1 2 2 7
Direct
0.000 0.000 0.000 Rb
0.209 0.459 0.750 Li
0.709 0.459 0.250 Li
0.274 0.902 0.372 Sn
0.531 0.902 0.628 Sn
0.074 0.437 0.637 Cl
0.145 0.895 0.250 Cl
0.262 0.398 0.864 Cl
0.316 0.816 0.500 Cl
0.535 0.398 0.136 Cl
0.645 0.895 0.750 Cl
0.799 0.437 0.363 Cl
```

Computed properties:
The value obtained for the magnetization is 0.000 μB/atom. For the uncorrected formation energy, the calculation gives -135.5 kJ per mole of atoms. As for the density of states at the Fermi level: 0.00 states/eV/f.u.

***

20.
First-principles (PBE) data for crystalline Sc2SnPd at its relaxed geometry, as listed in Alexandria.

```
Sc2SnPd
1.0
-2.126 2.126 9.916
2.126 -2.126 9.916
2.126 2.126 -9.916
Sc Sn Pd
4 2 2
Direct
0.123 0.625 0.998 Sc
0.375 0.373 0.498 Sc
0.627 0.125 0.002 Sc
0.875 0.877 0.502 Sc
0.000 0.000 0.000 Sn
0.750 0.250 0.500 Sn
0.250 0.750 0.500 Pd
0.500 0.500 0.000 Pd
```

Computed properties:
The value obtained for the magnetization is 0.000 μB/atom. Its calculated formation energy is -0.64 eV/f.u. As for the density of states at the Fermi level: 3.70 states/eV/f.u.